PaHgAuO5 (PBE, optimized geometry); SG = No. 15; uncorrected formation energy = -1.52 eV per atom; crystal system = monoclinic
1.0
3.277 -4.823 0.000
3.277 4.823 0.000
-2.297 0.000 8.243
Pa Hg Au O
2 2 2 10
direct
0.000 0.000 0.000
0.000 0.000 0.500
0.308 0.692 0.750
0.692 0.308 0.250
0.347 0.653 0.250
0.653 0.347 0.750
0.090 0.910 0.750
0.142 0.760 0.086
0.240 0.858 0.414
0.352 0.361 0.603
0.361 0.352 0.103
0.639 0.648 0.897
0.648 0.639 0.397
0.760 0.142 0.586
0.858 0.240 0.914
0.910 0.090 0.250

BaH3Pd (PBE, optimized geometry); SG = No. 167; calculated total energy = -36.1 eV for the cell shown; crystal system = trigonal
1.0
3.313 1.913 4.129
-3.313 1.913 4.129
0.000 -3.826 4.129
Ba H Pd
2 6 2
direct
0.000 0.000 0.000
0.500 0.500 0.500
0.004 0.750 0.496
0.250 0.504 0.996
0.496 0.004 0.750
0.504 0.996 0.250
0.750 0.496 0.004
0.996 0.250 0.504
0.250 0.250 0.250
0.750 0.750 0.750

Hf2GaSb (PBE, optimized geometry); SG = No. 166; uncorrected formation energy = -0.34 eV per atom; energy above the lowest structure with this stoichiometry = 66.5 meV per atom; crystal system = trigonal
1.0
1.958 1.131 6.714
-1.958 1.131 6.714
0.000 -2.261 6.714
Hf Ga Sb
2 1 1
direct
0.242 0.242 0.242
0.758 0.758 0.758
0.500 0.500 0.500
0.000 0.000 0.000

LiSc2ZnSe (PBE, optimized geometry); SG = No. 123; uncorrected formation energy = -0.10 eV per atom; crystal system = tetragonal
1.0
5.059 0.000 0.000
0.000 5.059 0.000
0.000 0.000 4.440
Li Sc Zn Se
1 2 1 1
direct
0.000 0.000 0.000
0.000 0.500 0.500
0.500 0.000 0.500
0.000 0.000 0.500
0.500 0.500 0.000